A plane-wave DFT calculation with PBE-GGA was carried out for an optimized crystal structure of Na3Cd3Sn.

Cell: 8.686 8.686 5.386 Å, 90.00 90.00 120.00°
Sites, in units of the cell vectors:
Na 0.098 0.475 0.250
Na 0.376 0.902 0.250
Na 0.475 0.376 0.750
Na 0.525 0.624 0.250
Na 0.624 0.098 0.750
Na 0.902 0.525 0.750
Cd 0.068 0.238 0.750
Cd 0.171 0.932 0.750
Cd 0.238 0.171 0.250
Cd 0.762 0.829 0.750
Cd 0.829 0.068 0.250
Cd 0.932 0.762 0.250
Sn 0.333 0.667 0.750
Sn 0.667 0.333 0.250

A plane-wave DFT calculation with PBE-GGA was carried out for an optimized crystal structure of NaCdSn4.

Calculated values
excess energy over the best structure of this formula in the dataset	0	meV/atom

Cell: 5.326 5.326 6.608 Å, 90.03 90.03 119.99°
Sites, in units of the cell vectors:
Na 0.000 0.000 0.000
Cd 0.000 0.000 0.500
Sn 0.333 0.666 0.266
Sn 0.334 0.667 0.734
Sn 0.666 0.333 0.266
Sn 0.667 0.334 0.734

no.,DFT formation energy (meV/atom)
1,-117
2,-52